Compound: Ga4CuRh5
Source: the Alexandria database
Functional: PBE
Structure: optimized geometry

Properties
Total magnetization, μB/cell: 0.0
ΔH_f (0 K), eV per atom: -0.576
Mass density, g/cm³: 10.26
Crystal system: tetragonal

Lattice parameters (Å, degrees): 3.034 3.034 15.075 90.00 90.00 90.00
Space group P4/mmm (No. 123)
One atom of each set of equivalent atoms:
Ga  0.000  0.000  0.102
Ga  0.000  0.000  0.307
Cu  0.000  0.000  0.500
Rh  0.500  0.500  0.000
Rh  0.500  0.500  0.200
Rh  0.500  0.500  0.399